Compound: Si2RuPt2
Source: the Alexandria database
Functional: PBE
Structure: relaxed

## Properties
VASP energy ... -6.803 eV/atom
Theoretical density ... 12.69 g cm⁻³
Formation energy (no corrections) ... -1.81 eV per formula unit

abc: 6.639 6.639 3.251
angles: 90.00 90.00 90.00
Positions (direct):
Si1 0.150 0.350 0.000
Si2 0.350 0.850 0.000
Si3 0.650 0.150 0.000
Si4 0.850 0.650 0.000
Ru1 0.000 0.000 0.000
Ru2 0.500 0.500 0.000
Pt1 0.149 0.649 0.500
Pt2 0.351 0.149 0.500
Pt3 0.649 0.851 0.500
Pt4 0.851 0.351 0.500

Compound: Cd3Ag5Hg
Source: the Alexandria database
Functional: PBE
Structure: relaxed

## Properties
VASP energy ... -1.724 eV/atom
ΔH_f (0 K) ... 4.58 kcal/mol of atoms
Theoretical density ... 8.28 g cm⁻³

abc: 6.883 6.883 9.766
angles: 95.43 95.43 69.99
Positions (direct):
Cd1 0.000 0.000 0.000
Cd2 0.000 0.000 0.500
Cd3 0.282 0.282 0.520
Cd4 0.326 0.326 0.813
Cd5 0.674 0.674 0.187
Cd6 0.718 0.718 0.480
Ag1 0.078 0.710 0.237
Ag2 0.290 0.922 0.763
Ag3 0.305 0.305 0.101
Ag4 0.331 0.669 0.000
Ag5 0.475 0.475 0.352
Ag6 0.525 0.525 0.648
Ag7 0.669 0.331 0.000
Ag8 0.695 0.695 0.899
Ag9 0.710 0.078 0.237
Ag10 0.922 0.290 0.763
Hg1 0.131 0.131 0.271
Hg2 0.869 0.869 0.729

Compound: PmSm4Al2
Source: the Alexandria database
Functional: PBE
Structure: relaxed

## Properties
VASP energy ... -4.346 eV/atom
ΔH_f (0 K) ... 2.27 kcal/mol of atoms
Theoretical density ... 5.71 g cm⁻³

abc: 10.634 10.634 10.634
angles: 27.91 27.91 27.91
Positions (direct):
Pm1 0.000 0.000 0.000
Sm1 0.203 0.203 0.203
Sm2 0.398 0.398 0.398
Sm3 0.602 0.602 0.602
Sm4 0.797 0.797 0.797
Al1 0.100 0.100 0.100
Al2 0.900 0.900 0.900

Compound: BaYPS2
Source: the Alexandria database
Functional: PBE
Structure: relaxed

## Properties
VASP energy ... -4.255 eV/atom
Theoretical density ... 3.30 g cm⁻³
Formation energy (no corrections) ... 0.78 eV per formula unit

abc: 5.473 5.473 5.397
angles: 90.00 90.00 90.00
Positions (direct):
Ba1 0.000 0.000 0.000
Y1 0.500 0.500 0.500
P1 0.000 0.000 0.500
S1 0.000 0.500 0.000
S2 0.500 0.000 0.000